No. 1
The following is a PBE-GGA calculation of a geometry-optimized Nd2PuSb3Pt4 structure, from the Alexandria database.

Calculated values
* total moment: 0.54 μB per atom

Cell lengths 4.543, 4.543, 11.450 Å; angles 90.00, 90.00, 90.00 degrees
Site moments in Bohr magnetons follow the coordinates.
Positions (direct):
Nd 0.500 0.000 0.214  0.02
Nd 0.000 0.500 0.786  0.02
Pu 0.500 0.500 0.500  5.14
Sb 0.000 0.000 0.500  -0.04
Sb 0.500 0.000 0.873  0.00
Sb 0.000 0.500 0.127  0.00
Pt 0.500 0.500 0.000  0.00
Pt 0.000 0.000 0.000  -0.01
Pt 0.500 0.000 0.647  -0.03
Pt 0.000 0.500 0.353  -0.03


No. 2
The following is a PBE-GGA calculation of a geometry-optimized CsNpTiSe3 structure, from the Alexandria database.

Calculated values
* total moment: 0.82 μB per atom

Cell lengths 4.200, 9.825, 10.320 Å; angles 112.16, 90.00, 90.00 degrees
Site moments in Bohr magnetons follow the coordinates.
Positions (direct):
Cs 0.250 0.215 0.239  0.00
Cs 0.750 0.785 0.761  0.00
Np 0.250 0.670 0.145  3.96
Np 0.750 0.330 0.855  3.96
Ti 0.250 0.083 0.601  0.61
Ti 0.750 0.917 0.399  0.61
Se 0.750 0.878 0.145  -0.06
Se 0.250 0.122 0.855  -0.06
Se 0.250 0.806 0.460  -0.02
Se 0.750 0.194 0.540  -0.02
Se 0.750 0.473 0.154  -0.08
Se 0.250 0.527 0.846  -0.08


Listing E_form (uncorrected) for the structures above in their given order: -820 -1132 meV per atom.
Listing calculated volume for the structures above in their given order: 236.3 197.2 Å³/f.u..